Entry 1:
An optimized crystal structure of KSrC3. Source: Alexandria via LeMat-Bulk, functional GGA-PBE.

Its density of states at the Fermi level is 0.944 states/eV/atom. For the magnetic moment, the calculation gives 4.68 μB per formula unit. The calculation puts the formation energy at 3.2506 eV per atom.

Cell lengths 4.835, 4.835, 4.835 Å; angles 90.00, 90.00, 90.00 degrees
Space group Pm-3m (No. 221)
Unique sites:
K1 0.000 0.000 0.000 x1
Sr1 0.500 0.500 0.500 x1
C1 0.000 0.000 0.500 x3

=====

Entry 2:
An optimized crystal structure of TlHg2P. Source: Alexandria via LeMat-Bulk, functional GGA-PBE.

Its density of states at the Fermi level is 0.285 states/eV/atom. For the magnetic moment, the calculation gives 0.00 μB per formula unit. The calculation puts the formation energy at 0.1997 eV per atom.

Cell lengths 7.482, 4.307, 6.939 Å; angles 90.00, 111.03, 90.00 degrees
Space group C2/m (No. 12)
Unique sites:
Tl1 0.000 0.000 0.000 x2
Hg1 0.229 0.000 0.686 x4
P1 0.000 0.500 0.500 x2

=====

Entry 3:
An optimized crystal structure of K2TlOsO4. Source: Alexandria via LeMat-Bulk, functional GGA-PBE.

Its density of states at the Fermi level is 0.828 states/eV/atom. For the magnetic moment, the calculation gives 1.00 μB per formula unit. The calculation puts the uncorrected formation energy at -1.143 eV per atom.

Cell lengths 6.440, 6.440, 7.401 Å; angles 90.00, 90.00, 90.00 degrees
Space group I-4 (No. 82)
Unique sites:
K1 0.000 0.000 0.000 x2
K2 0.000 0.500 0.250 x2
Tl1 0.000 0.500 0.750 x2
Os1 0.000 0.000 0.500 x2
O1 0.204 0.204 0.499 x8

=====

Entry 4:
An optimized crystal structure of IrOs3I. Source: Alexandria via LeMat-Bulk, functional GGA-PBE.

Its density of states at the Fermi level is 1.912 states/eV/atom. For the magnetic moment, the calculation gives 0.00 μB per formula unit. The calculation puts the uncorrected formation energy at 2.459 eV per atom.

Cell lengths 4.779, 4.779, 4.779 Å; angles 90.00, 90.00, 90.00 degrees
Space group Pm-3m (No. 221)
Unique sites:
Ir1 0.000 0.000 0.000 x1
Os1 0.000 0.000 0.500 x3
I1 0.500 0.500 0.500 x1

=====

Entry 5:
An optimized crystal structure of Ce4Cu2N. Source: Alexandria via LeMat-Bulk, functional GGA-PBE.

Its density of states at the Fermi level is 3.014 states/eV/atom. For the magnetic moment, the calculation gives 2.62 μB per formula unit. The calculation puts the uncorrected formation energy at -0.129 eV per atom.

Cell lengths 4.615, 4.615, 15.564 Å; angles 90.00, 90.00, 90.00 degrees
Space group I4/mmm (No. 139)
Unique sites:
Ce1 0.000 0.000 0.192 x4
Ce2 0.000 0.500 0.000 x4
Cu1 0.000 0.000 0.366 x4
N1 0.000 0.000 0.500 x2

=====

Entry 6:
An optimized crystal structure of SnP2Pb2. Source: Alexandria via LeMat-Bulk, functional GGA-PBE.

Its density of states at the Fermi level is 0.435 states/eV/atom. For the magnetic moment, the calculation gives 0.00 μB per formula unit. The calculation puts the formation energy at 0.1720 eV per atom.

Cell lengths 3.404, 3.404, 21.431 Å; angles 90.00, 90.00, 90.00 degrees
Space group I4/mmm (No. 139)
Unique sites:
Sn1 0.000 0.000 0.000 x2
P1 0.000 0.500 0.250 x4
Pb1 0.000 0.000 0.381 x4

=====

Q: Look up the magnetic moment of the third one.
A: 1.00 μB per formula unit

=====

Q: Look up the density of states at the Fermi level of the first one.
A: 0.944 states/eV/atom